Crystalline SiSb2PRu at its relaxed geometry. Source: Alexandria, functional PBEsol.

Calculated values
Uncorrected energy = -4.98 eV per atom
V = 107 Å³ per cell
SG = P4/mmm (123)
Energy relative to the elements, uncorrected = 1.18 eV per atom
Crystal system = tetragonal

```
data_SiSb2PRu
_chemical_formula_sum 'Si1 Sb2 P1 Ru1'
_cell_length_a 5.035
_cell_length_b 5.035
_cell_length_c 4.240
_cell_angle_alpha 90.00
_cell_angle_beta 90.00
_cell_angle_gamma 90.00
_symmetry_space_group_name_H-M 'P 1'
_symmetry_Int_Tables_number 1
loop_
_symmetry_equiv_pos_as_xyz
'x,y,z'
loop_
_atom_site_label
_atom_site_fract_x
_atom_site_fract_y
_atom_site_fract_z
Si1 0.000 0.000 0.000
Sb1 0.000 0.500 0.000
Sb2 0.500 0.000 0.000
P1 0.000 0.000 0.500
Ru1 0.500 0.500 0.500
```

Crystalline Li5Ti2Cu3O10 at its relaxed geometry. Source: Alexandria, functional PBEsol.

Calculated values
Uncorrected energy = -6.49 eV per atom
V = 184 Å³ per cell
SG = P-1 (2)
Energy relative to the elements, uncorrected = -1.89 eV per atom
Crystal system = triclinic

```
data_Li5Ti2Cu3O10
_chemical_formula_sum 'Li5 Ti2 Cu3 O10'
_cell_length_a 5.014
_cell_length_b 5.474
_cell_length_c 7.514
_cell_angle_alpha 103.09
_cell_angle_beta 103.22
_cell_angle_gamma 105.97
_symmetry_space_group_name_H-M 'P 1'
_symmetry_Int_Tables_number 1
loop_
_symmetry_equiv_pos_as_xyz
'x,y,z'
loop_
_atom_site_label
_atom_site_fract_x
_atom_site_fract_y
_atom_site_fract_z
Li1 0.000 0.000 0.000
Li2 0.097 0.186 0.700
Li3 0.289 0.616 0.117
Li4 0.711 0.384 0.883
Li5 0.903 0.814 0.300
Ti1 0.403 0.806 0.807
Ti2 0.597 0.194 0.193
Cu1 0.200 0.387 0.400
Cu2 0.500 0.000 0.500
Cu3 0.800 0.613 0.600
O1 0.038 0.629 0.838
O2 0.146 0.825 0.565
O3 0.280 0.971 0.255
O4 0.372 0.170 0.952
O5 0.440 0.468 0.659
O6 0.560 0.532 0.341
O7 0.628 0.830 0.048
O8 0.720 0.029 0.745
O9 0.854 0.175 0.435
O10 0.962 0.371 0.162
```

Crystalline LaTiIn3 at its relaxed geometry. Source: Alexandria, functional PBEsol.

Calculated values
Uncorrected energy = -4.57 eV per atom
ΔE_f = -0.045 eV per atom
V = 137 Å³ per cell
SG = Pm-3m (221)
Crystal system = cubic

```
data_LaTiIn3
_chemical_formula_sum 'La1 Ti1 In3'
_cell_length_a 5.160
_cell_length_b 5.160
_cell_length_c 5.160
_cell_angle_alpha 90.00
_cell_angle_beta 90.00
_cell_angle_gamma 90.00
_symmetry_space_group_name_H-M 'P 1'
_symmetry_Int_Tables_number 1
loop_
_symmetry_equiv_pos_as_xyz
'x,y,z'
loop_
_atom_site_label
_atom_site_fract_x
_atom_site_fract_y
_atom_site_fract_z
La1 0.000 0.000 0.000
Ti1 0.500 0.500 0.500
In1 0.000 0.500 0.500
In2 0.500 0.000 0.500
In3 0.500 0.500 0.000
```

Crystalline CuPtAu2 at its relaxed geometry. Source: Alexandria, functional PBEsol.

Calculated values
Uncorrected energy = -4.78 eV per atom
E above lowest polymorph = 47 meV/atom
ΔE_f = 0.002 eV per atom
V = 61 Å³ per cell
SG = P2/m (10)
Crystal system = monoclinic

```
data_CuPtAu2
_chemical_formula_sum 'Cu1 Pt1 Au2'
_cell_length_a 2.783
_cell_length_b 3.873
_cell_length_c 5.627
_cell_angle_alpha 90.00
_cell_angle_beta 90.13
_cell_angle_gamma 90.00
_symmetry_space_group_name_H-M 'P 1'
_symmetry_Int_Tables_number 1
loop_
_symmetry_equiv_pos_as_xyz
'x,y,z'
loop_
_atom_site_label
_atom_site_fract_x
_atom_site_fract_y
_atom_site_fract_z
Cu1 0.000 0.000 0.000
Pt1 0.000 0.000 0.500
Au1 0.499 0.500 0.241
Au2 0.501 0.500 0.759
```

- Which of these has the highest V?
  Li5Ti2Cu3O10

- Number 2 is which compound?
  Li5Ti2Cu3O10

- Look up the uncorrected energy of the second one.
  -6.49 eV per atom